A plane-wave DFT calculation with PBE-GGA was carried out for crystalline NaLi2Tl8 at its relaxed geometry.

## Properties
Energy in eV per cell: -49.985
DOS(E_F) in states/eV/atom: 0.403

a = 16.908 Å, b = 4.771 Å, c = 7.862 Å
α = 90.00°, β = 109.56°, γ = 90.00°
Space group C2/m (No. 12)
Symmetry-distinct sites (fractional):
Na  0.000  0.000  0.000 [2 per cell]
Li  0.222  0.500  0.656 [4 per cell]
Tl  0.042  0.500  0.733 [4 per cell]
Tl  0.106  0.000  0.484 [4 per cell]
Tl  0.156  0.500  0.229 [4 per cell]
Tl  0.181  0.000  0.933 [4 per cell]